1.
Density functional theory data (PBE) for an optimized crystal structure of LaMoPCl2.

abc: 5.3387 5.3387 5.8514
angles: 90.00 90.00 90.00
Sites, in units of the cell vectors:
La 0.0000 0.0000 0.0000
Mo 0.5000 0.5000 0.5000
P 0.0000 0.0000 0.5000
Cl 0.0000 0.5000 0.0000
Cl 0.5000 0.0000 0.0000

Summary:
Raw total energy   -4.63 eV per atom
Theoretical density   3.35 g cm⁻³
Formation energy without anion corrections   341 meV per atom
Excess energy over the best structure of this formula in the dataset   89.6 kJ per mole of atoms

=====

2.
Density functional theory data (PBE) for an optimized crystal structure of LaPrCl3.

abc: 7.3744 7.3744 6.7868
angles: 100.63 100.63 125.22
Sites, in units of the cell vectors:
La 0.1739 0.8261 0.0000
La 0.8261 0.1739 0.0000
Pr 0.3231 0.6769 0.5000
Pr 0.6769 0.3231 0.5000
Cl 0.1009 0.3998 0.7489
Cl 0.2515 0.2515 0.2561
Cl 0.3998 0.1009 0.7489
Cl 0.6002 0.8991 0.2511
Cl 0.7485 0.7485 0.7439
Cl 0.8991 0.6002 0.2511

Summary:
Raw total energy   -4.87 eV per atom
Theoretical density   4.64 g cm⁻³
Formation energy without anion corrections   -1824 meV per atom